VASP calculation (PBE+U) on crystalline NpV2HgO8 at its relaxed geometry.

Output
The space group is C2/m. Its density of states at the Fermi level is 0.4556 states/eV/atom. The final energy comes out at -7.560 eV per atom.

```
12
Lattice="-5.622 -0.516 1.710 -1.522 -4.151 3.905 1.453 5.617 6.592" Properties=species:S:1:pos:R:3 pbc="T T T"
O -4.200 -0.947 6.277
O -2.751 3.819 7.512
O -1.492 1.897 5.929
O -2.940 -2.869 4.695
O -0.708 2.008 8.605
O -5.746 -3.144 5.526
O 0.055 4.095 6.681
O -4.983 -1.057 3.602
Hg 0.727 2.809 3.296
Np 0.000 0.000 0.000
V -4.460 -1.975 5.060
V -1.231 2.925 7.147
```